a) Density functional theory data (PBE) for a geometry-optimized GeI2NO structure.

```
GeI2NO
1.0
5.108 0.000 0.000
0.000 5.108 0.000
0.000 0.000 4.016
I Ge N O
2 1 1 1
Cartesian
0.000 2.554 0.000
2.554 0.000 0.000
2.554 2.554 2.008
0.000 0.000 2.008
0.000 0.000 0.000
```

---

b) Density functional theory data (PBE) for a geometry-optimized GeI2NO structure.

```
GeI2NO
1.0
-6.010 0.089 0.179
0.111 -2.985 5.219
0.100 3.138 1.793
Ge O I N
1 1 2 1
Cartesian
0.000 0.000 0.000
0.050 1.569 0.896
0.056 -1.493 2.609
-3.005 0.045 0.089
-2.899 0.121 3.595
```

---

Energy ordering: b) at the bottom, the next structure 49.5 kJ/mol of atoms above.

---

a) Density functional theory data (PBE) for a geometry-optimized La3BiIr structure.

```
La3BiIr
1.0
-5.534 -5.917 -1.666
-0.998 -1.109 7.250
-5.774 1.439 -0.575
Ir Bi La
2 2 6
Cartesian
-4.278 -3.683 4.515
-8.028 -1.904 0.493
-6.761 -4.645 0.248
-5.545 -0.942 4.760
-9.399 -3.390 -1.684
-5.158 -1.745 0.912
-9.864 -3.907 1.696
-2.443 -1.679 3.313
-7.148 -3.842 4.096
-2.908 -2.196 6.693
```

---

b) Density functional theory data (PBE) for a geometry-optimized La3BiIr structure.

```
La3BiIr
1.0
-1.137 -0.005 -4.559
5.283 -6.768 -1.310
-11.790 -9.775 2.953
Bi La Ir
4 12 4
Cartesian
-0.962 -7.124 -0.962
-6.683 -9.425 -1.954
-5.719 -14.200 -2.189
-1.925 -2.349 -0.728
-8.541 -8.984 0.930
-7.766 -6.046 -1.688
0.896 -7.565 -3.847
1.045 -4.163 -1.466
-2.598 -4.888 -2.978
-0.166 -1.040 -3.589
-4.372 -7.360 -0.111
-8.690 -12.386 -1.450
-5.046 -11.661 0.062
-3.272 -9.189 -2.805
0.122 -10.503 -1.229
-7.478 -15.509 0.673
-9.674 -11.363 1.216
-5.096 -5.519 -2.354
2.030 -5.185 -4.132
-2.548 -11.029 -0.562
```

---

Energy ordering: b) at the bottom, the next structure 15.1 kJ/mol of atoms above.

---

a) Density functional theory data (PBE) for a geometry-optimized ZrScTe2 structure.

```
ZrScTe2
1.0
5.681 0.000 0.000
0.000 4.518 -0.012
0.000 0.011 3.913
Sc Te Zr
1 2 1
Cartesian
2.840 3.537 3.413
2.840 1.359 1.462
5.681 4.304 3.414
0.000 2.123 1.463
```

---

b) Density functional theory data (PBE) for a geometry-optimized ZrScTe2 structure.

```
ZrScTe2
1.0
-1.439 -0.772 3.201
3.143 -1.368 1.083
5.114 5.089 3.527
Zr Sc Te
1 1 2
Cartesian
1.345 0.544 2.753
5.473 2.405 5.058
3.154 -1.332 1.096
4.117 1.825 2.291
```

---

Energy ordering: b) at the bottom, the next structure 2.1 kJ/mol of atoms above.

---

a) Density functional theory data (PBE) for a geometry-optimized LiMnRe2 structure.

```
LiMnRe2
1.0
-0.659 -0.576 -4.912
1.566 -3.969 2.586
-2.221 -1.321 0.062
Li Mn Re
1 1 2
Cartesian
-1.440 -0.948 -2.425
-0.328 -2.645 1.324
0.454 -2.272 -1.163
0.000 0.000 0.000
```

---

b) Density functional theory data (PBE) for a geometry-optimized LiMnRe2 structure.

```
LiMnRe2
1.0
-4.553 -0.424 -1.770
-2.960 -3.163 2.297
2.744 4.030 0.525
Li Re Mn
1 2 1
Cartesian
-3.691 -1.762 0.259
-0.069 -0.033 0.005
-2.832 0.883 -0.488
-1.933 -0.438 1.539
```

---

Energy ordering: a) at the bottom, the next structure 2.1 kJ/mol of atoms above.

---

a) Density functional theory data (PBE) for a geometry-optimized B2C structure.

```
B2C
1.0
-0.168 -0.346 2.425
4.314 -1.149 0.134
2.406 7.573 1.248
B C
8 4
Cartesian
4.872 1.197 0.508
2.066 3.467 0.638
4.219 5.379 2.303
3.547 6.466 1.169
1.717 0.989 0.260
3.325 2.946 1.894
0.142 0.274 0.049
3.046 -0.901 1.325
4.799 3.921 2.135
5.471 3.574 0.889
2.598 0.606 1.509
3.769 1.441 1.710
```

---

b) Density functional theory data (PBE) for a geometry-optimized B2C structure.

```
B2C
1.0
-1.617 -2.871 1.225
3.511 -1.892 2.130
-3.115 2.334 4.025
C B
4 8
Cartesian
-0.517 -0.626 2.123
-1.934 -1.763 6.497
0.809 -2.706 2.946
1.831 -1.878 3.661
-0.887 -1.692 5.215
-4.189 -0.735 4.765
0.112 -3.185 5.176
-0.869 -2.591 3.724
-1.439 -0.915 3.543
-2.786 0.227 3.916
-1.444 0.194 4.876
0.000 -2.045 1.684
```

---

Energy ordering: a) at the bottom, the next structure 0.6 kJ/mol of atoms above.

---

a) Density functional theory data (PBE) for a geometry-optimized B5C7 structure.

```
B5C7
1.0
3.940 -0.043 -2.071
3.126 2.399 -2.071
-0.088 -0.029 8.124
C B
7 5
Cartesian
1.097 0.366 5.042
4.718 1.573 3.875
5.770 1.923 1.134
2.187 0.729 4.048
6.889 2.296 0.166
1.407 0.469 1.075
5.933 1.978 -3.309
0.197 0.066 0.105
2.479 0.826 -0.302
3.166 1.055 1.248
4.563 1.521 -0.096
3.529 1.176 4.808
```

---

b) Density functional theory data (PBE) for a geometry-optimized B5C7 structure.

```
B5C7
1.0
2.643 0.000 0.000
-1.321 2.289 0.000
0.000 0.000 14.700
C B
7 5
Cartesian
0.000 0.000 13.376
0.000 0.000 5.479
0.000 1.526 0.859
1.321 0.763 3.180
0.000 1.526 7.727
0.000 0.000 0.367
0.000 1.526 9.278
0.000 1.526 2.489
1.321 0.763 4.743
0.000 0.000 7.038
1.321 0.763 9.472
1.321 0.763 13.169
```

---

Energy ordering: a) at the bottom, the next structure 3.4 kJ/mol of atoms above.

---

a) Density functional theory data (PBE) for a geometry-optimized Sc2BeSe structure.

```
Sc2BeSe
1.0
-2.058 -4.074 1.041
-0.911 -3.095 -3.391
2.442 -3.986 -0.248
Be Se Sc
1 1 2
Cartesian
-0.263 -5.577 -1.299
-0.132 -2.789 -0.650
0.000 0.000 0.000
-0.395 -8.366 -1.949
```

---

b) Density functional theory data (PBE) for a geometry-optimized Sc2BeSe structure.

```
Sc2BeSe
1.0
3.642 -0.002 -0.002
1.828 3.151 -0.002
1.816 1.045 6.714
Sc Be Se
2 1 1
Cartesian
5.470 3.149 0.031
3.642 2.097 3.322
1.821 1.048 1.678
5.464 3.145 5.033
```

---

Energy ordering: b) at the bottom, the next structure 86.8 kJ/mol of atoms above.

---

a) Density functional theory data (PBE) for a geometry-optimized Cd2MoCl structure.

```
Cd2MoCl
1.0
-0.604 -2.907 -0.672
1.953 1.608 -1.692
8.256 -3.214 6.475
Mo Cd Cl
1 2 1
Cartesian
6.782 -3.026 3.607
2.539 -1.375 0.280
7.977 -3.105 6.255
4.692 -1.826 3.679
```

---

b) Density functional theory data (PBE) for a geometry-optimized Cd2MoCl structure.

```
Cd2MoCl
1.0
-2.937 -0.403 0.857
1.580 -1.280 4.815
-0.273 5.022 1.425
Cl Mo Cd
1 1 2
Cartesian
-0.678 -0.841 2.836
-1.605 2.309 1.141
0.653 1.871 3.120
0.000 0.000 0.000
```

---

Energy ordering: a) at the bottom, the next structure 27.5 kJ/mol of atoms above.